The following is a GGA+U calculation of a relaxed structure of TlFePO4, from the Alexandria database.

Lattice parameters (Å, degrees): 5.3511 5.7082 7.4828 90.00 107.45 90.00
Space group P2_1/m (No. 11)
Asymmetric unit:
Tl1 0.1928 0.2500 0.4173
Fe1 0.2962 0.2500 0.9711
P1 0.2479 0.7500 0.1387
O1 0.0505 0.7500 0.9385
O2 0.0815 0.7500 0.2769
O3 0.4373 0.5339 0.1636

Results
The calculated total energy comes out at -6.50 eV/atom.